RbTiCoF6: relaxed, GGA+U.

```
18
Lattice="5.532 0.000 0.000 -2.766 4.791 0.000 0.000 0.000 11.928" Properties=species:S:1:pos:R:3 pbc="T T T"
Rb 0.000 0.000 0.000
Rb 0.000 0.000 5.964
Ti 0.000 3.194 2.982
Ti 2.766 1.597 8.946
Co 0.000 3.194 8.946
Co 2.766 1.597 2.982
F -0.993 1.846 1.907
F -1.664 3.008 4.057
F 0.993 1.846 4.057
F -0.671 4.728 1.907
F 2.095 0.063 7.871
F 1.102 1.782 10.021
F 1.664 3.008 1.907
F 0.671 4.728 4.057
F 3.437 0.063 10.021
F 1.773 2.945 7.871
F 4.430 1.782 7.871
F 3.759 2.945 10.021
```

Summary:
Total energy: -101.28 eV per cell
Space group: P-31c (163)